Tb2Tl2Hg after structural relaxation, computed with GGA-PBE.

Properties
Symmetry = C2/m (12)
Total magnetic moment = 0.00 μB/f.u.
Mass density = 11.18 Mg/m³
Volume = 27.55 A^3/atom
Relative energy among the computed polymorphs = 0 meV per atom
ΔE_f = -1.504 eV per formula unit

Unit cell a=4.788 b=6.231 c=10.339 alpha=90.22 beta=76.61 gamma=67.41
Fractional positions:
Tl1 0.657 0.801 0.885
Tl2 0.343 0.199 0.115
Tl3 0.103 0.250 0.544
Tl4 0.897 0.750 0.456
Hg1 0.441 0.823 0.295
Hg2 0.559 0.177 0.705
Tb1 0.692 0.289 0.326
Tb2 0.308 0.711 0.674
Tb3 0.083 0.743 0.092
Tb4 0.917 0.257 0.908

Tb2TlHg3 after structural relaxation, computed with GGA-PBE.

Properties
Symmetry = Fmmm (69)
Total magnetic moment = 0.00 μB/f.u.
Mass density = 12.36 Mg/m³
Volume = 25.17 A^3/atom
Relative energy among the computed polymorphs = 0 meV per atom
ΔE_f = -2.019 eV per formula unit

Unit cell a=6.111 b=6.111 c=9.312 alpha=102.30 beta=102.30 gamma=110.52
Fractional positions:
Hg1 0.166 0.669 0.835
Hg2 0.669 0.166 0.835
Hg3 0.331 0.834 0.165
Hg4 0.834 0.331 0.165
Hg5 0.835 0.835 0.670
Hg6 0.165 0.165 0.330
Tl1 0.333 0.333 0.666
Tl2 0.667 0.667 0.334
Tb1 0.752 0.752 0.000
Tb2 0.250 0.750 0.500
Tb3 0.750 0.250 0.500
Tb4 0.248 0.248 0.000

Tb7Tl5Hg after structural relaxation, computed with GGA-PBE.

Properties
Symmetry = Imm2 (44)
Total magnetic moment = 0.00 μB/f.u.
Mass density = 10.09 Mg/m³
Volume = 29.55 A^3/atom
ΔE_f = -2.050 eV per formula unit

Unit cell a=6.722 b=8.273 c=8.273 alpha=80.47 beta=66.03 gamma=66.03
Fractional positions:
Hg1 0.968 0.032 0.032
Tb1 0.274 0.226 0.226
Tb2 0.004 0.680 0.311
Tb3 0.522 0.154 0.801
Tb4 0.265 0.735 0.735
Tb5 0.522 0.801 0.154
Tb6 0.004 0.311 0.680
Tb7 0.628 0.372 0.372
Tl1 0.516 0.002 0.475
Tl2 0.516 0.475 0.002
Tl3 0.007 0.002 0.475
Tl4 0.767 0.733 0.733
Tl5 0.007 0.475 0.002

Tb2Tl2Hg3 after structural relaxation, computed with GGA-PBE.

Properties
Symmetry = P-1 (2)
Total magnetic moment = 0.00 μB/f.u.
Mass density = 11.31 Mg/m³
Volume = 27.86 A^3/atom
Relative energy among the computed polymorphs = 0 meV per atom
ΔE_f = -1.629 eV per formula unit

Unit cell a=5.299 b=5.280 c=8.838 alpha=92.88 beta=102.94 gamma=124.00
Fractional positions:
Tb1 0.232 0.610 0.847
Tb2 0.768 0.390 0.153
Tl1 0.274 0.130 0.404
Tl2 0.726 0.870 0.596
Hg1 0.000 0.000 0.000
Hg2 0.488 0.741 0.223
Hg3 0.512 0.259 0.777

TbYTlHg after structural relaxation, computed with GGA-PBE.

Properties
Symmetry = P4mm (99)
Total magnetic moment = 0.04 μB/f.u.
Mass density = 10.11 Mg/m³
Volume = 26.81 A^3/atom
ΔE_f = -1.730 eV per formula unit

Unit cell a=3.773 b=3.773 c=7.534 alpha=90.00 beta=90.00 gamma=90.00
Fractional positions:
Y1 0.500 0.500 0.598
Tl1 0.000 0.000 0.856
Hg1 0.000 0.000 0.358
Tb1 0.500 0.500 0.115

TbY2Tl2Hg2 after structural relaxation, computed with GGA-PBE.

Properties
Symmetry = R-3m (166)
Total magnetic moment = 0.00 μB/f.u.
Mass density = 9.92 Mg/m³
Volume = 27.41 A^3/atom
ΔE_f = -1.334 eV per formula unit

Unit cell a=4.994 b=4.994 c=9.338 alpha=74.49 beta=74.49 gamma=60.00
Fractional positions:
Tl1 0.726 0.726 0.821
Tl2 0.274 0.274 0.179
Y1 0.868 0.868 0.397
Y2 0.132 0.132 0.603
Tb1 0.000 0.000 0.000
Hg1 0.565 0.565 0.304
Hg2 0.435 0.435 0.696

TbYTlHg after structural relaxation, computed with GGA-PBE.

Properties
Symmetry = F-43m (216)
Total magnetic moment = 0.58 μB/f.u.
Mass density = 10.12 Mg/m³
Volume = 26.79 A^3/atom
ΔE_f = -1.728 eV per formula unit

Unit cell a=5.331 b=5.331 c=5.331 alpha=60.00 beta=60.00 gamma=60.00
Each line ends with the local moment (μB).
Fractional positions:
Hg1 0.250 0.250 0.250  0.02
Tb1 0.000 0.000 0.000  0.18
Tl1 0.750 0.750 0.750  -0.01
Y1 0.500 0.500 0.500  0.16

TbTlZnHg after structural relaxation, computed with GGA-PBE.

Properties
Symmetry = F-43m (216)
Total magnetic moment = 0.00 μB/f.u.
Mass density = 11.05 Mg/m³
Volume = 23.65 A^3/atom
ΔE_f = -0.761 eV per formula unit

Unit cell a=5.114 b=5.114 c=5.114 alpha=60.00 beta=60.00 gamma=60.00
Fractional positions:
Tl1 0.250 0.250 0.250
Zn1 0.000 0.000 0.000
Hg1 0.500 0.500 0.500
Tb1 0.750 0.750 0.750

TbZrTlHg after structural relaxation, computed with GGA-PBE.

Properties
Symmetry = F-43m (216)
Total magnetic moment = 0.00 μB/f.u.
Mass density = 11.12 Mg/m³
Volume = 24.46 A^3/atom
ΔE_f = -0.818 eV per formula unit

Unit cell a=5.173 b=5.173 c=5.173 alpha=60.00 beta=60.00 gamma=60.00
Fractional positions:
Tl1 0.000 0.000 0.000
Zr1 0.750 0.750 0.750
Tb1 0.250 0.250 0.250
Hg1 0.500 0.500 0.500

Tb2Tm2Hg3 after structural relaxation, computed with GGA-PBE.

Properties
Symmetry = P-1 (2)
Total magnetic moment = 0.00 μB/f.u.
Mass density = 10.75 Mg/m³
Volume = 27.74 A^3/atom
ΔE_f = -2.219 eV per formula unit

Unit cell a=5.149 b=5.160 c=8.958 alpha=90.05 beta=106.60 gamma=120.17
Fractional positions:
Hg1 0.502 0.751 0.252
Hg2 0.498 0.249 0.748
Hg3 0.000 0.000 0.000
Tm1 0.756 0.378 0.132
Tm2 0.244 0.622 0.868
Tb1 0.745 0.873 0.619
Tb2 0.255 0.127 0.381

Tb6Tm2Hg after structural relaxation, computed with GGA-PBE.

Properties
Symmetry = Cmmm (65)
Total magnetic moment = 0.00 μB/f.u.
Mass density = 8.75 Mg/m³
Volume = 31.46 A^3/atom
ΔE_f = 0.288 eV per formula unit

Unit cell a=3.541 b=9.265 c=9.793 alpha=118.23 beta=90.01 gamma=90.00
Fractional positions:
Tb1 0.500 0.297 0.000
Tb2 0.500 0.703 0.000
Tb3 0.999 0.339 0.325
Tb4 0.001 0.014 0.675
Tb5 0.999 0.986 0.325
Tb6 0.001 0.661 0.675
Tm1 0.500 0.318 0.636
Tm2 0.500 0.682 0.364
Hg1 0.000 0.000 0.000

TbTm2Hg4 after structural relaxation, computed with GGA-PBE.

Properties
Symmetry = I4/mmm (139)
Total magnetic moment = 0.00 μB/f.u.
Mass density = 8.99 Mg/m³
Volume = 34.29 A^3/atom
Relative energy among the computed polymorphs = 477 meV per atom
ΔE_f = 0.555 eV per formula unit

Unit cell a=5.615 b=5.615 c=8.586 alpha=109.09 beta=109.09 gamma=90.00
Fractional positions:
Tm1 0.601 0.601 0.201
Tm2 0.399 0.399 0.799
Hg1 0.500 0.000 0.000
Hg2 0.798 0.798 0.597
Hg3 0.000 0.500 0.000
Hg4 0.202 0.202 0.403
Tb1 0.000 0.000 0.000

Tb8TmHg2 after structural relaxation, computed with GGA-PBE.

Properties
Symmetry = C2/m (12)
Total magnetic moment = 0.00 μB/f.u.
Mass density = 8.97 Mg/m³
Volume = 30.98 A^3/atom
ΔE_f = -0.557 eV per formula unit

Unit cell a=5.539 b=8.674 c=8.674 alpha=118.91 beta=100.44 gamma=100.44
Fractional positions:
Tm1 0.500 0.000 0.000
Tb1 0.895 0.908 0.681
Tb2 0.500 0.776 0.224
Tb3 0.500 0.224 0.776
Tb4 0.300 0.603 0.603
Tb5 0.105 0.092 0.319
Tb6 0.105 0.319 0.092
Tb7 0.700 0.397 0.397
Tb8 0.895 0.681 0.908
Hg1 0.000 0.694 0.306
Hg2 0.000 0.306 0.694

TbTm4Hg after structural relaxation, computed with GGA-PBE.

Properties
Symmetry = P4/mmm (123)
Total magnetic moment = 0.00 μB/f.u.
Mass density = 9.95 Mg/m³
Volume = 28.79 A^3/atom
Relative energy among the computed polymorphs = 0 meV per atom
ΔE_f = -0.850 eV per formula unit

Unit cell a=3.524 b=3.524 c=13.909 alpha=90.00 beta=90.00 gamma=90.00
Fractional positions:
Tm1 0.000 0.000 0.644
Tm2 0.500 0.500 0.178
Tm3 0.000 0.000 0.356
Tm4 0.500 0.500 0.822
Tb1 0.000 0.000 0.000
Hg1 0.500 0.500 0.500

TbTm4Hg5 after structural relaxation, computed with GGA-PBE.

Properties
Symmetry = P4/mmm (123)
Total magnetic moment = 0.13 μB/f.u.
Mass density = 12.17 Mg/m³
Volume = 25.07 A^3/atom
ΔE_f = -4.801 eV per formula unit

Unit cell a=3.681 b=3.681 c=18.496 alpha=90.00 beta=90.00 gamma=90.00
Each line ends with the local moment (μB).
Fractional positions:
Hg1 0.500 0.500 0.104  0.00
Hg2 0.500 0.500 0.698  0.00
Hg3 0.500 0.500 0.896  0.00
Hg4 0.500 0.500 0.302  0.00
Hg5 0.500 0.500 0.500  0.00
Tm1 0.000 0.000 0.797  0.01
Tm2 0.000 0.000 0.401  0.00
Tm3 0.000 0.000 0.599  0.00
Tm4 0.000 0.000 0.203  0.01
Tb1 0.000 0.000 0.000  0.08

Tb3TmHg6 after structural relaxation, computed with GGA-PBE.

Properties
Symmetry = P2_1/m (11)
Total magnetic moment = 0.00 μB/f.u.
Mass density = 12.24 Mg/m³
Volume = 25.09 A^3/atom
ΔE_f = -4.249 eV per formula unit

Unit cell a=5.145 b=9.164 c=11.109 alpha=106.68 beta=90.00 gamma=90.00
Fractional positions:
Hg1 0.250 0.062 0.890
Hg2 0.750 0.761 0.495
Hg3 0.750 0.858 0.808
Hg4 0.250 0.465 0.089
Hg5 0.750 0.535 0.911
Hg6 0.250 0.658 0.699
Hg7 0.250 0.239 0.505
Hg8 0.750 0.342 0.301
Hg9 0.250 0.142 0.192
Hg10 0.250 0.844 0.312
Hg11 0.750 0.938 0.110
Hg12 0.750 0.156 0.688
Tb1 0.250 0.772 0.992
Tb2 0.750 0.647 0.206
Tb3 0.750 0.228 0.008
Tb4 0.250 0.353 0.794
Tb5 0.250 0.516 0.387
Tb6 0.750 0.484 0.613
Tm1 0.250 0.941 0.605
Tm2 0.750 0.059 0.395

Tb3Tm3Hg2 after structural relaxation, computed with GGA-PBE.

Properties
Symmetry = Cmcm (63)
Total magnetic moment = 0.00 μB/f.u.
Mass density = 9.86 Mg/m³
Volume = 29.17 A^3/atom
ΔE_f = -1.376 eV per formula unit

Unit cell a=5.100 b=6.327 c=15.801 alpha=90.00 beta=90.00 gamma=113.77
Fractional positions:
Tm1 0.643 0.286 0.466
Tm2 0.357 0.714 0.966
Tm3 0.429 0.858 0.250
Tm4 0.643 0.286 0.034
Tm5 0.571 0.142 0.750
Tm6 0.357 0.714 0.534
Tb1 0.041 0.082 0.893
Tb2 0.282 0.564 0.750
Tb3 0.718 0.436 0.250
Tb4 0.959 0.918 0.393
Tb5 0.041 0.082 0.607
Tb6 0.959 0.918 0.107
Hg1 0.231 0.461 0.373
Hg2 0.769 0.539 0.873
Hg3 0.231 0.461 0.127
Hg4 0.769 0.539 0.627

TbTm4Hg after structural relaxation, computed with GGA-PBE.

Properties
Symmetry = C2/c (15)
Total magnetic moment = 0.00 μB/f.u.
Mass density = 9.78 Mg/m³
Volume = 29.30 A^3/atom
Relative energy among the computed polymorphs = 101 meV per atom
ΔE_f = -0.244 eV per formula unit

Unit cell a=6.271 b=8.850 c=8.124 alpha=113.13 beta=99.87 gamma=113.19
Fractional positions:
Tm1 0.367 0.910 0.623
Tm2 0.223 0.598 0.760
Tm3 0.633 0.090 0.377
Tm4 0.244 0.287 0.377
Tm5 0.756 0.713 0.623
Tm6 0.037 0.162 0.760
Tm7 0.963 0.838 0.240
Tm8 0.777 0.402 0.240
Hg1 0.250 0.000 0.001
Hg2 0.750 0.000 0.999
Tb1 0.344 0.594 0.187
Tb2 0.656 0.406 0.813

TbTm3Hg4 after structural relaxation, computed with GGA-PBE.

Properties
Symmetry = Pmma (51)
Total magnetic moment = 0.00 μB/f.u.
Mass density = 12.13 Mg/m³
Volume = 25.12 A^3/atom
ΔE_f = -3.827 eV per formula unit

Unit cell a=5.187 b=7.471 c=10.373 alpha=90.00 beta=90.00 gamma=90.00
Fractional positions:
Tb1 0.000 0.500 0.500
Tb2 0.000 0.500 0.000
Hg1 0.999 0.755 0.250
Hg2 0.500 0.245 0.500
Hg3 0.001 0.755 0.750
Hg4 0.500 0.755 0.500
Hg5 0.001 0.245 0.750
Hg6 0.500 0.245 0.000
Hg7 0.500 0.755 0.000
Hg8 0.999 0.245 0.250
Tm1 0.000 0.000 0.500
Tm2 0.000 0.000 0.000
Tm3 0.501 0.000 0.750
Tm4 0.499 0.000 0.250
Tm5 0.499 0.500 0.250
Tm6 0.501 0.500 0.750

TbTm2Hg2 after structural relaxation, computed with GGA-PBE.

Properties
Symmetry = P2_1/m (11)
Total magnetic moment = 0.00 μB/f.u.
Mass density = 11.31 Mg/m³
Volume = 26.36 A^3/atom
Relative energy among the computed polymorphs = 0 meV per atom
ΔE_f = -1.932 eV per formula unit

Unit cell a=3.705 b=5.263 c=13.647 alpha=90.00 beta=97.83 gamma=90.00
Fractional positions:
Tb1 0.147 0.250 0.293
Tb2 0.853 0.750 0.707
Tm1 0.953 0.250 0.905
Tm2 0.764 0.250 0.528
Tm3 0.047 0.750 0.095
Tm4 0.236 0.750 0.472
Hg1 0.644 0.750 0.289
Hg2 0.454 0.750 0.907
Hg3 0.546 0.250 0.093
Hg4 0.356 0.250 0.711

Tb12Tm5Hg2 after structural relaxation, computed with GGA-PBE.

Properties
Symmetry = C2/m (12)
Total magnetic moment = 0.00 μB/f.u.
Mass density = 8.88 Mg/m³
Volume = 31.02 A^3/atom
ΔE_f = 0.239 eV per formula unit

Unit cell a=9.185 b=8.996 c=8.311 alpha=93.21 beta=90.00 gamma=120.69
Fractional positions:
Tb1 0.577 0.769 0.373
Tb2 0.905 0.809 0.111
Tb3 0.977 0.325 0.240
Tb4 0.191 0.769 0.373
Tb5 0.653 0.675 0.760
Tb6 0.023 0.675 0.760
Tb7 0.809 0.231 0.627
Tb8 0.095 0.191 0.889
Tb9 0.550 0.100 0.271
Tb10 0.347 0.325 0.240
Tb11 0.423 0.231 0.627
Tb12 0.450 0.900 0.729
Tm1 0.239 0.478 0.595
Tm2 0.000 0.000 0.500
Tm3 0.680 0.360 0.979
Tm4 0.320 0.640 0.021
Tm5 0.761 0.522 0.405
Hg1 0.718 0.000 0.000
Hg2 0.282 0.000 0.000

Tb3TmHg12 after structural relaxation, computed with GGA-PBE.

Properties
Symmetry = P4/mmm (123)
Total magnetic moment = 0.00 μB/f.u.
Mass density = 12.93 Mg/m³
Volume = 24.50 A^3/atom
ΔE_f = -5.011 eV per formula unit

Unit cell a=4.517 b=4.517 c=19.216 alpha=90.00 beta=90.00 gamma=90.00
Fractional positions:
Hg1 0.000 0.500 0.626
Hg2 0.500 0.500 0.751
Hg3 0.500 0.000 0.877
Hg4 0.000 0.500 0.123
Hg5 0.500 0.500 0.249
Hg6 0.000 0.500 0.374
Hg7 0.000 0.500 0.877
Hg8 0.500 0.000 0.123
Hg9 0.500 0.500 0.000
Hg10 0.500 0.000 0.374
Hg11 0.500 0.500 0.500
Hg12 0.500 0.000 0.626
Tb1 0.000 0.000 0.500
Tb2 0.000 0.000 0.751
Tb3 0.000 0.000 0.249
Tm1 0.000 0.000 0.000